# Ba3LiMn2O6, optimized geometry, DFT GGA+U
data_Ba3LiMn2O6
_cell_length_a 6.0531
_cell_length_b 6.0531
_cell_length_c 6.8591
_cell_angle_alpha 90.00
_cell_angle_beta 90.00
_cell_angle_gamma 120.00
_space_group_name_H-M_alt 'P -3 m 1'
_space_group_IT_number 164
_space_group_name_Hall '-P 3 2"'
loop_
_atom_site_label
_atom_site_fract_x
_atom_site_fract_y
_atom_site_fract_z
Ba1 0.0000 0.0000 0.0000
Ba2 0.3333 0.6667 0.6352
Li1 0.0000 0.0000 0.5000
Mn1 0.3333 0.6667 0.1864
O1 0.1688 0.3376 0.2961
# calculated volume = 18.14 Å³/atom
# calculated total energy = -6.187 eV/atom
# total magnetic moment = 8.99 μB/cell